i:
Density functional theory data (PBE-GGA) for a geometry-optimized Sb5As structure.

a b c (Å): 5.9727 5.9727 5.6585
angles (deg): 90.00 90.00 120.00
Positions (direct):
Sb (0.5000, 0.5000, 0.5000)
Sb (0.6667, 0.3333, 0.0000)
Sb (0.0000, 0.5000, 0.5000)
Sb (0.5000, 0.0000, 0.5000)
Sb (0.3333, 0.6667, 0.0000)
As (0.0000, 0.0000, 0.0000)

Results
- Crystal system: hexagonal
- Space-group type: P6/mmm (191)


ii:
Density functional theory data (PBE-GGA) for a geometry-optimized Sb5As structure.

a b c (Å): 3.1802 3.1802 15.6224
angles (deg): 90.00 90.00 90.00
Positions (direct):
Sb (0.0000, 0.0000, 0.5000)
Sb (0.5000, 0.5000, 0.6768)
Sb (0.0000, 0.0000, 0.1416)
Sb (0.0000, 0.0000, 0.8584)
Sb (0.5000, 0.5000, 0.3232)
As (0.5000, 0.5000, 0.0000)

Results
- Crystal system: tetragonal
- Space-group type: P4/mmm (123)


Sorted by energy, starting with the most stable: ii, i.


i:
Density functional theory data (PBE-GGA) for a geometry-optimized Sb4As5 structure.

a b c (Å): 9.0442 9.0442 5.8590
angles (deg): 90.00 90.00 120.00
Positions (direct):
As (0.0000, 0.7205, 0.2500)
As (0.2795, 0.0000, 0.7500)
As (0.3333, 0.6667, 0.0000)
As (0.2795, 0.2795, 0.2500)
As (0.3333, 0.6667, 0.5000)
As (0.0000, 0.2795, 0.7500)
As (0.6667, 0.3333, 0.0000)
As (0.7205, 0.7205, 0.7500)
As (0.7205, 0.0000, 0.2500)
As (0.6667, 0.3333, 0.5000)
Sb (0.3697, 0.3697, 0.7500)
Sb (0.0000, 0.0000, 0.0000)
Sb (0.6303, 0.6303, 0.2500)
Sb (0.0000, 0.0000, 0.5000)
Sb (0.6303, 0.0000, 0.7500)
Sb (0.0000, 0.3697, 0.2500)
Sb (0.3697, 0.0000, 0.2500)
Sb (0.0000, 0.6303, 0.7500)

Results
- Crystal system: hexagonal
- Space-group type: P6_3/mcm (193)


ii:
Density functional theory data (PBE-GGA) for a geometry-optimized Sb4As5 structure.

a b c (Å): 8.5044 8.5044 8.5044
angles (deg): 92.57 92.57 155.53
Positions (direct):
Sb (0.2446, 0.0000, 0.2446)
Sb (0.7554, 0.0000, 0.7554)
Sb (0.0000, 0.7554, 0.7554)
Sb (0.0000, 0.2446, 0.2446)
As (0.6877, 0.6877, 0.3754)
As (0.0000, 0.0000, 0.0000)
As (0.3123, 0.3123, 0.6246)
As (0.3123, 0.6877, 0.0000)
As (0.6877, 0.3123, 0.0000)

Results
- Crystal system: tetragonal
- Space-group type: I4/mmm (139)


Sorted by energy, starting with the most stable: ii, i.